## i
# ScTlPb (GGA-PBE, relaxed)
# **DOS(E_F)**: 4.86 states/eV/cell
# **Calculated density**: 9.68 Mg/m³
data_ScTlPb
_chemical_formula_sum 'Sc2 Tl2 Pb2'
_space_group_name_H-M_alt 'P 1'
_space_group_IT_number 1
_space_group_name_Hall 'P 1'
_cell_length_a 5.4928
_cell_length_b 3.4671
_cell_length_c 8.2406
_cell_angle_alpha 90.00
_cell_angle_beta 93.12
_cell_angle_gamma 90.00
loop_
_atom_site_label
_atom_site_type_symbol
_atom_site_fract_x
_atom_site_fract_y
_atom_site_fract_z
Sc1 Sc 0.1779 0.0000 0.3114
Sc2 Sc 0.8221 0.0000 0.6886
Tl1 Tl 0.0000 0.5000 0.0000
Tl2 Tl 0.5000 0.0000 0.0000
Pb1 Pb 0.3154 0.5000 0.6468
Pb2 Pb 0.6846 0.5000 0.3532

=====

## ii
# ScTlPb (GGA-PBE, relaxed)
# **DOS(E_F)**: 4.59 states/eV/cell
# **Calculated density**: 9.67 Mg/m³
data_ScTlPb
_chemical_formula_sum 'Sc2 Tl2 Pb2'
_space_group_name_H-M_alt 'P 1'
_space_group_IT_number 1
_space_group_name_Hall 'P 1'
_cell_length_a 5.5782
_cell_length_b 3.4945
_cell_length_c 8.0718
_cell_angle_alpha 90.00
_cell_angle_beta 94.65
_cell_angle_gamma 90.00
loop_
_atom_site_label
_atom_site_type_symbol
_atom_site_fract_x
_atom_site_fract_y
_atom_site_fract_z
Sc1 Sc 0.0000 0.0000 0.0000
Sc2 Sc 0.3426 0.0000 0.6264
Tl1 Tl 0.4853 0.5000 0.9573
Tl2 Tl 0.6686 0.0000 0.3054
Pb1 Pb 0.1726 0.5000 0.3143
Pb2 Pb 0.8438 0.5000 0.6698

=====

The least stable of them is ii.

=====

## i
# Sc2Tl2Pb (GGA-PBE, relaxed)
# **DOS(E_F)**: 5.46 states/eV/cell
# **Calculated density**: 8.17 Mg/m³
data_Sc2Tl2Pb
_chemical_formula_sum 'Sc2 Tl2 Pb1'
_space_group_name_H-M_alt 'P 1'
_space_group_IT_number 1
_space_group_name_Hall 'P 1'
_cell_length_a 7.3037
_cell_length_b 7.3037
_cell_length_c 7.3037
_cell_angle_alpha 142.50
_cell_angle_beta 142.50
_cell_angle_gamma 54.08
loop_
_atom_site_label
_atom_site_type_symbol
_atom_site_fract_x
_atom_site_fract_y
_atom_site_fract_z
Sc1 Sc 0.2500 0.7500 0.5000
Sc2 Sc 0.7500 0.2500 0.5000
Tl1 Tl 0.1087 0.1087 0.0000
Tl2 Tl 0.8913 0.8913 0.0000
Pb1 Pb 0.5000 0.5000 0.0000

=====

## ii
# Sc2Tl2Pb (GGA-PBE, relaxed)
# **DOS(E_F)**: 7.59 states/eV/cell
# **Calculated density**: 9.04 Mg/m³
data_Sc2Tl2Pb
_chemical_formula_sum 'Sc4 Tl4 Pb2'
_space_group_name_H-M_alt 'P 1'
_space_group_IT_number 1
_space_group_name_Hall 'P 1'
_cell_length_a 8.4535
_cell_length_b 8.4535
_cell_length_c 3.6281
_cell_angle_alpha 90.00
_cell_angle_beta 90.00
_cell_angle_gamma 90.00
loop_
_atom_site_label
_atom_site_type_symbol
_atom_site_fract_x
_atom_site_fract_y
_atom_site_fract_z
Sc1 Sc 0.1330 0.3670 0.0000
Sc2 Sc 0.3670 0.8670 0.0000
Sc3 Sc 0.6330 0.1330 0.0000
Sc4 Sc 0.8670 0.6330 0.0000
Tl1 Tl 0.1712 0.6712 0.5000
Tl2 Tl 0.3288 0.1712 0.5000
Tl3 Tl 0.6712 0.8288 0.5000
Tl4 Tl 0.8288 0.3288 0.5000
Pb1 Pb 0.0000 0.0000 0.0000
Pb2 Pb 0.5000 0.5000 0.0000

=====

## iii
# Sc2Tl2Pb (GGA-PBE, relaxed)
# **DOS(E_F)**: 4.42 states/eV/cell
# **Calculated density**: 9.09 Mg/m³
data_Sc2Tl2Pb
_chemical_formula_sum 'Sc4 Tl4 Pb2'
_space_group_name_H-M_alt 'P 1'
_space_group_IT_number 1
_space_group_name_Hall 'P 1'
_cell_length_a 8.5486
_cell_length_b 8.5486
_cell_length_c 3.5281
_cell_angle_alpha 90.00
_cell_angle_beta 90.00
_cell_angle_gamma 90.00
loop_
_atom_site_label
_atom_site_type_symbol
_atom_site_fract_x
_atom_site_fract_y
_atom_site_fract_z
Sc1 Sc 0.1741 0.3259 0.0000
Sc2 Sc 0.3259 0.8259 0.0000
Sc3 Sc 0.6741 0.1741 0.0000
Sc4 Sc 0.8259 0.6741 0.0000
Tl1 Tl 0.1270 0.6270 0.5000
Tl2 Tl 0.3730 0.1270 0.5000
Tl3 Tl 0.6270 0.8730 0.5000
Tl4 Tl 0.8730 0.3730 0.5000
Pb1 Pb 0.0000 0.0000 0.5000
Pb2 Pb 0.5000 0.5000 0.5000

=====

The least stable of them is i.